1.
Entry from Alexandria: crystalline Tb2GaNi2Pt5 at its relaxed geometry (GGA-PBE).

Output
Uncorrected energy = -6.249 eV per atom
Size of the total moment = 0.000 μB per formula unit
V = 16.8 Å³/atom
Space-group type = P4/mbm

```
data_Tb2GaNi2Pt5
_chemical_formula_sum 'Tb4 Ga2 Ni4 Pt10'
_cell_length_a 9.2398
_cell_length_b 9.2398
_cell_length_c 3.9304
_cell_angle_alpha 90.00
_cell_angle_beta 90.00
_cell_angle_gamma 90.00
_symmetry_space_group_name_H-M 'P 1'
_symmetry_Int_Tables_number 1
loop_
_symmetry_equiv_pos_as_xyz
'x,y,z'
loop_
_atom_site_label
_atom_site_type_symbol
_atom_site_fract_x
_atom_site_fract_y
_atom_site_fract_z
Tb1 Tb 0.1738 0.3262 0.0000
Tb2 Tb 0.3262 0.8262 0.0000
Tb3 Tb 0.6738 0.1738 0.0000
Tb4 Tb 0.8262 0.6738 0.0000
Ga1 Ga 0.0000 0.0000 0.0000
Ga2 Ga 0.5000 0.5000 0.0000
Ni1 Ni 0.1240 0.6240 0.0000
Ni2 Ni 0.3760 0.1240 0.0000
Ni3 Ni 0.6240 0.8760 0.0000
Ni4 Ni 0.8760 0.3760 0.0000
Pt1 Pt 0.0000 0.5000 0.5000
Pt2 Pt 0.0693 0.7947 0.5000
Pt3 Pt 0.2053 0.0693 0.5000
Pt4 Pt 0.2947 0.5693 0.5000
Pt5 Pt 0.4307 0.2947 0.5000
Pt6 Pt 0.5000 0.0000 0.5000
Pt7 Pt 0.5693 0.7053 0.5000
Pt8 Pt 0.7053 0.4307 0.5000
Pt9 Pt 0.7947 0.9307 0.5000
Pt10 Pt 0.9307 0.2053 0.5000
```

***

2.
Entry from Alexandria: crystalline TbGa3NiPt at its relaxed geometry (GGA-PBE).

Output
Uncorrected energy = -4.793 eV per atom
Size of the total moment = 0.000 μB per formula unit
V = 17.8 Å³/atom
Space-group type = Cmcm

```
data_TbGa3NiPt
_chemical_formula_sum 'Tb2 Ga6 Ni2 Pt2'
_cell_length_a 6.7749
_cell_length_b 6.7749
_cell_length_c 5.8220
_cell_angle_alpha 90.00
_cell_angle_beta 90.00
_cell_angle_gamma 126.76
_symmetry_space_group_name_H-M 'P 1'
_symmetry_Int_Tables_number 1
loop_
_symmetry_equiv_pos_as_xyz
'x,y,z'
loop_
_atom_site_label
_atom_site_type_symbol
_atom_site_fract_x
_atom_site_fract_y
_atom_site_fract_z
Tb1 Tb 0.2288 0.7712 0.7500
Tb2 Tb 0.7712 0.2288 0.2500
Ga1 Ga 0.2094 0.2094 0.0000
Ga2 Ga 0.2094 0.2094 0.5000
Ga3 Ga 0.3556 0.6444 0.2500
Ga4 Ga 0.6444 0.3556 0.7500
Ga5 Ga 0.7906 0.7906 0.0000
Ga6 Ga 0.7906 0.7906 0.5000
Ni1 Ni 0.4450 0.5550 0.7500
Ni2 Ni 0.5550 0.4450 0.2500
Pt1 Pt 0.1514 0.8486 0.2500
Pt2 Pt 0.8486 0.1514 0.7500
```

***

Look up the size of the total moment of the second one.
0.000 μB per formula unit

***

Repeat the first record exactly.
Entry from Alexandria: crystalline Tb2GaNi2Pt5 at its relaxed geometry (GGA-PBE).

Output
Uncorrected energy = -6.249 eV per atom
Size of the total moment = 0.000 μB per formula unit
V = 16.8 Å³/atom
Space-group type = P4/mbm

```
data_Tb2GaNi2Pt5
_chemical_formula_sum 'Tb4 Ga2 Ni4 Pt10'
_cell_length_a 9.2398
_cell_length_b 9.2398
_cell_length_c 3.9304
_cell_angle_alpha 90.00
_cell_angle_beta 90.00
_cell_angle_gamma 90.00
_symmetry_space_group_name_H-M 'P 1'
_symmetry_Int_Tables_number 1
loop_
_symmetry_equiv_pos_as_xyz
'x,y,z'
loop_
_atom_site_label
_atom_site_type_symbol
_atom_site_fract_x
_atom_site_fract_y
_atom_site_fract_z
Tb1 Tb 0.1738 0.3262 0.0000
Tb2 Tb 0.3262 0.8262 0.0000
Tb3 Tb 0.6738 0.1738 0.0000
Tb4 Tb 0.8262 0.6738 0.0000
Ga1 Ga 0.0000 0.0000 0.0000
Ga2 Ga 0.5000 0.5000 0.0000
Ni1 Ni 0.1240 0.6240 0.0000
Ni2 Ni 0.3760 0.1240 0.0000
Ni3 Ni 0.6240 0.8760 0.0000
Ni4 Ni 0.8760 0.3760 0.0000
Pt1 Pt 0.0000 0.5000 0.5000
Pt2 Pt 0.0693 0.7947 0.5000
Pt3 Pt 0.2053 0.0693 0.5000
Pt4 Pt 0.2947 0.5693 0.5000
Pt5 Pt 0.4307 0.2947 0.5000
Pt6 Pt 0.5000 0.0000 0.5000
Pt7 Pt 0.5693 0.7053 0.5000
Pt8 Pt 0.7053 0.4307 0.5000
Pt9 Pt 0.7947 0.9307 0.5000
Pt10 Pt 0.9307 0.2053 0.5000
```

***

Number 2 is which compound?
TbGa3NiPt

***

The highest uncorrected energy belongs to which entry?
TbGa3NiPt